Record 1
# TlP2W, relaxed, DFT PBEsol
# - excess energy over the best structure of this formula in the dataset (meV per atom) = 366
# - DOS(E_F) (states/eV per cell) = 5.329
# - crystal system = orthorhombic
data_TlP2W
_chemical_formula_sum 'Tl2 P4 W2'
_cell_length_a 2.941
_cell_length_b 5.212
_cell_length_c 9.989
_cell_angle_alpha 90.00
_cell_angle_beta 90.00
_cell_angle_gamma 90.00
_symmetry_space_group_name_H-M 'I m m m'
_symmetry_Int_Tables_number 71
_symmetry_space_group_name_Hall '-I 2 2'
loop_
_atom_site_label
_atom_site_fract_x
_atom_site_fract_y
_atom_site_fract_z
Tl1 0.000 0.000 0.000
P1 0.000 0.500 0.192
W1 0.000 0.000 0.500

***

Record 2
# Y4TlP, relaxed, DFT PBEsol
# - DOS(E_F) (states/eV per cell) = 26.763
# - crystal system = cubic
data_Y4TlP
_chemical_formula_sum 'Y16 Tl4 P4'
_cell_length_a 8.574
_cell_length_b 8.574
_cell_length_c 8.574
_cell_angle_alpha 90.00
_cell_angle_beta 90.00
_cell_angle_gamma 90.00
_symmetry_space_group_name_H-M 'F -4 3 m'
_symmetry_Int_Tables_number 216
_symmetry_space_group_name_Hall 'F -4 2 3'
loop_
_atom_site_label
_atom_site_fract_x
_atom_site_fract_y
_atom_site_fract_z
Y1 0.125 0.125 0.125
Tl1 0.000 0.000 0.500
P1 0.250 0.250 0.750

***

Record 3
# YTl4P, relaxed, DFT PBEsol
# - DOS(E_F) (states/eV per cell) = 20.902
# - crystal system = cubic
data_YTl4P
_chemical_formula_sum 'Y4 Tl16 P4'
_cell_length_a 8.549
_cell_length_b 8.549
_cell_length_c 8.549
_cell_angle_alpha 90.00
_cell_angle_beta 90.00
_cell_angle_gamma 90.00
_symmetry_space_group_name_H-M 'F -4 3 m'
_symmetry_Int_Tables_number 216
_symmetry_space_group_name_Hall 'F -4 2 3'
loop_
_atom_site_label
_atom_site_fract_x
_atom_site_fract_y
_atom_site_fract_z
Y1 0.000 0.000 0.000
Tl1 0.125 0.125 0.375
P1 0.250 0.250 0.750

***

Record 4
# Y2TlP2, relaxed, DFT PBEsol
# - DOS(E_F) (states/eV per cell) = 2.091
# - crystal system = tetragonal
data_Y2TlP2
_chemical_formula_sum 'Y4 Tl2 P4'
_cell_length_a 7.654
_cell_length_b 7.654
_cell_length_c 3.673
_cell_angle_alpha 90.00
_cell_angle_beta 90.00
_cell_angle_gamma 90.00
_symmetry_space_group_name_H-M 'P 4/m b m'
_symmetry_Int_Tables_number 127
_symmetry_space_group_name_Hall '-P 4 2ab'
loop_
_atom_site_label
_atom_site_fract_x
_atom_site_fract_y
_atom_site_fract_z
Y1 0.157 0.343 0.000
Tl1 0.000 0.000 0.500
P1 0.144 0.644 0.500

***

| no. | formation energy (kJ/mol of formula units) |
| --- | --- |
| 1 | 194 |
| 2 | 182 |
| 3 | 153 |
| 4 | -497 |